PBE Pm12Re3Sn5, optimized geometry; DFT formation energy = 0.3160 eV per atom; DFT total energy = -5.40 eV/atom; SG = No. 230
1.0
-2.992 7.441 13.012
12.441 -8.686 1.843
2.457 10.107 -11.200
Sn Pm Re
20 48 12
Cartesian
1.460 13.338 0.190 Sn
-0.268 8.774 0.906 Sn
7.000 8.662 4.138 Sn
9.878 -1.794 -1.191 Sn
0.000 0.000 0.000 Sn
2.295 1.882 3.940 Sn
5.453 4.920 -3.056 Sn
10.445 -4.477 3.466 Sn
2.275 9.285 -3.290 Sn
6.220 -4.343 0.922 Sn
5.953 4.431 1.828 Sn
9.630 -0.423 6.945 Sn
7.449 0.710 -4.678 Sn
4.724 -0.623 7.427 Sn
1.228 5.054 -5.600 Sn
6.453 3.942 6.711 Sn
2.027 10.656 4.846 Sn
-1.496 3.720 6.506 Sn
9.610 6.979 -0.285 Sn
4.905 0.200 -0.482 Sn
0.354 6.004 2.078 Pm
-0.392 5.013 9.064 Pm
12.297 3.848 -5.408 Pm
2.588 10.116 -8.131 Pm
2.435 6.409 9.854 Pm
4.647 3.736 11.285 Pm
7.149 2.712 4.074 Pm
5.725 1.933 8.805 Pm
7.332 8.857 -0.769 Pm
2.598 7.790 -5.861 Pm
4.573 0.004 4.425 Pm
11.279 -5.968 1.010 Pm
2.912 4.006 1.926 Pm
9.484 -0.165 1.287 Pm
1.748 8.534 6.937 Pm
9.317 -1.255 11.786 Pm
7.181 -1.938 6.135 Pm
1.846 7.504 -0.925 Pm
10.059 1.358 4.580 Pm
7.140 1.938 0.483 Pm
-0.469 6.502 5.706 Pm
9.471 2.453 -6.198 Pm
7.865 -2.998 3.140 Pm
7.259 5.126 -7.630 Pm
11.552 2.858 1.577 Pm
2.964 3.386 -3.692 Pm
10.157 0.327 -3.281 Pm
9.307 1.071 9.517 Pm
-0.326 12.497 4.698 Pm
6.180 6.928 -5.150 Pm
7.909 3.215 -2.961 Pm
4.725 10.799 -2.480 Pm
8.993 4.856 1.729 Pm
0.626 14.829 2.645 Pm
2.421 9.027 2.369 Pm
1.564 3.509 6.342 Pm
12.231 -3.635 -1.042 Pm
8.941 5.476 7.348 Pm
10.342 5.353 -2.686 Pm
7.215 10.667 1.928 Pm
9.541 7.164 4.637 Pm
3.996 5.646 6.617 Pm
2.364 1.697 -0.981 Pm
4.765 6.924 3.172 Pm
4.690 -1.805 1.728 Pm
4.041 11.860 0.515 Pm
12.374 2.359 -2.051 Pm
4.757 6.150 -0.419 Pm
-0.449 7.952 8.816 Re
7.019 1.259 11.368 Re
10.177 4.297 4.372 Re
9.177 5.275 -5.395 Re
12.354 0.910 -5.160 Re
4.886 7.602 -7.712 Re
9.744 2.593 -0.738 Re
1.728 4.565 -0.717 Re
7.268 -0.112 3.232 Re
4.638 8.973 0.424 Re
2.728 3.587 9.050 Re
2.161 6.269 4.393 Re

***

PBE TbPm2Re, optimized geometry; DFT formation energy = 0.8700 eV per atom; DFT total energy = -5.77 eV/atom; SG = No. 166
1.0
3.291 0.000 0.000
1.645 2.850 0.000
1.645 0.950 11.519
Pm Re Tb
2 1 1
Cartesian
4.936 2.850 2.677 Pm
1.645 0.950 8.843 Pm
0.000 0.000 0.000 Re
3.291 1.900 5.760 Tb

***

PBE Tb2PmRe, optimized geometry; DFT formation energy = 0.8169 eV per atom; DFT total energy = -5.80 eV/atom; SG = No. 166
1.0
-0.072 -0.705 -3.176
1.422 -2.714 -1.097
-9.354 -6.882 0.074
Pm Re Tb
1 1 2
Cartesian
-4.002 -5.151 -2.100 Pm
0.000 0.000 0.000 Re
-7.067 -5.543 -0.276 Tb
-0.937 -4.758 -3.924 Tb